SrLi2Au: PBEsol geometry, meta-GGA SCAN.

The space group is C2/m (No. 12) and the conventional cell measures 9.391, 3.857 and 5.267 Å, with angles of 90.00, 106.17 and 90.00 degrees. Symmetry generates all atoms from Sr at (0.000, 0.000, 0.000), Li at (0.209, 0.000, 0.635) and Au at (0.000, 0.500, 0.500).

The value obtained for the magnetic moment is 0.000 μB per atom. For the calculated volume, the calculation gives 183.2 Å³/cell. The formation energy from the elements comes out at -1.8 eV per formula unit. As for the density of states at the Fermi level: 0.398 states/eV per atom.